1.
Entry from Alexandria: a geometry-optimized CaMg9Cd2 structure (PBE).

abc: 9.9939 9.9939 3.3312
angles: 90.00 90.00 120.00
Closest atoms and distances in Å follow each position.
Space group P6/mmm (No. 191)
One atom of each set of equivalent atoms:
Ca: 0.0000 0.0000 0.0000 [1 per cell]  2 Ca 3.33, 12 Mg 3.56
Mg: 0.0000 0.5000 0.0000 [3 per cell]  2 Cd 2.88, 8 Mg 3.23
Mg: 0.1818 0.3635 0.5000 [6 per cell]  2 Cd 3.11, 8 Mg 3.15-3.33
Cd: 0.3333 0.6667 0.0000 [2 per cell]  9 Mg 2.88-3.11

Values from the calculation:
- E (eV/cell) = -18.922
- energy of formation (meV per atom) = -61.5
- distance to the lowest polymorph of the same formula (meV per atom) = 15

***

2.
Entry from Alexandria: a geometry-optimized CaMg6Cd12 structure (PBE).

abc: 12.7981 12.7981 10.0401
angles: 90.00 90.00 120.00
Closest atoms and distances in Å follow each position.
Space group R-3m (No. 166, hexagonal axes)
One atom of each set of equivalent atoms:
Ca: 0.0000 0.0000 0.0000 [3 per cell]  6 Cd 3.35
Mg: 0.0656 0.5328 0.2307 [18 per cell]  8 Cd 2.90-3.17, 2 Mg 3.23
Cd: 0.0000 0.3889 0.5000 [18 per cell]  3 Cd 2.84-3.02, 4 Mg 2.90-3.14
Cd: 0.0817 0.1634 0.2810 [18 per cell]  4 Cd 3.02-3.14, 4 Mg 3.02-3.17, 1 Ca 3.35

Values from the calculation:
- E (eV/cell) = -68.272
- energy of formation (meV per atom) = -10.9
- distance to the lowest polymorph of the same formula (meV per atom) = 94

***

3.
Entry from Alexandria: a geometry-optimized Ca2MgCd4 structure (PBE).

abc: 5.1576 5.1576 14.4883
angles: 90.00 90.00 90.00
Closest atoms and distances in Å follow each position.
Space group I4/mmm (No. 139)
One atom of each set of equivalent atoms:
Ca: 0.0000 0.0000 0.2487 [4 per cell]  8 Cd 3.31-3.34, 1 Mg 3.60, 4 Ca 3.65
Mg: 0.0000 0.0000 0.0000 [2 per cell]  8 Cd 2.99
Cd: 0.0000 0.5000 0.1051 [8 per cell]  2 Mg 2.99, 1 Cd 3.05, 4 Ca 3.31-3.34

Values from the calculation:
- E (eV/cell) = -20.774
- energy of formation (meV per atom) = -161.3
- distance to the lowest polymorph of the same formula (meV per atom) = 0

***

4.
Entry from Alexandria: a geometry-optimized CaMg3Cd3 structure (PBE).

abc: 13.6648 13.6648 13.6648
angles: 90.00 90.00 90.00
Closest atoms and distances in Å follow each position.
Space group Fm-3m (No. 225)
One atom of each set of equivalent atoms:
Ca: 0.2500 0.2500 0.2500 [8 per cell]  12 Mg 5.01, 12 Cd 5.01
Mg: 0.0000 0.0000 0.1537 [24 per cell]  1 Cd 2.63
Cd: 0.0000 0.0000 0.3465 [24 per cell]  1 Mg 2.63

Values from the calculation:
- E (eV/cell) = -44.456
- energy of formation (meV per atom) = 567.7
- distance to the lowest polymorph of the same formula (meV per atom) = 271

***

5.
Entry from Alexandria: a geometry-optimized CaMg2Cd structure (PBE).

abc: 4.5023 4.5023 22.5000
angles: 90.00 90.00 90.00
Closest atoms and distances in Å follow each position.
Space group I-42d (No. 122)
One atom of each set of equivalent atoms:
Ca: 0.0000 0.0000 0.0000 [4 per cell]  4 Cd 3.18, 4 Mg 3.27
Mg: 0.2285 0.2500 0.6250 [8 per cell]  4 Mg 3.05-3.32, 2 Cd 3.20, 2 Ca 3.27
Cd: 0.0000 0.0000 0.5000 [4 per cell]  4 Ca 3.18, 4 Mg 3.20

Values from the calculation:
- E (eV/cell) = -23.488
- energy of formation (meV per atom) = 58.5

***

6.
Entry from Alexandria: a geometry-optimized Ca5MgCd structure (PBE).

abc: 8.9315 7.7725 14.4080
angles: 90.00 90.09 90.00
Closest atoms and distances in Å follow each position.
Space group C2/c (No. 15)
One atom of each set of equivalent atoms:
Ca: 0.0000 0.0432 0.2500 [4 per cell]  1 Mg 3.36, 8 Ca 3.60-3.62, 2 Cd 3.62
Ca: 0.2112 0.3422 0.1110 [8 per cell]  2 Cd 3.28-3.63, 1 Mg 3.45, 3 Ca 3.57-3.62
Ca: 0.2121 0.3419 0.3887 [8 per cell]  2 Cd 3.27-3.64, 1 Mg 3.45, 3 Ca 3.58-3.62
Mg: 0.0000 0.3895 0.7500 [4 per cell]  9 Ca 3.36-3.73
Cd: 0.0000 0.0000 0.0000 [4 per cell]  10 Ca 3.27-3.64

Values from the calculation:
- E (eV/cell) = -51.276
- energy of formation (meV per atom) = -43.1

***

7.
Entry from Alexandria: a geometry-optimized CaMg6Cd6 structure (PBE).

abc: 5.8881 10.0917 10.1561
angles: 90.00 90.00 90.00
Closest atoms and distances in Å follow each position.
Space group Immm (No. 71)
One atom of each set of equivalent atoms:
Ca: 0.0000 0.0000 0.0000 [2 per cell]  8 Mg 3.55-3.63, 12 Cd 3.65-3.87
Mg: 0.0000 0.0000 0.3510 [4 per cell]  3 Mg 3.03-3.27, 6 Cd 3.10-3.26
Mg: 0.0000 0.3520 0.0000 [4 per cell]  3 Mg 2.99-3.30, 6 Cd 3.11-3.26
Mg: 0.0000 0.5000 0.2902 [4 per cell]  6 Cd 2.95-3.03, 2 Mg 3.27
Cd: 0.0000 0.2863 0.5000 [4 per cell]  4 Cd 2.96, 6 Mg 3.03-3.26
Cd: 0.2500 0.2500 0.2500 [8 per cell]  4 Cd 2.94-2.96, 6 Mg 2.95-3.11

Values from the calculation:
- E (eV/cell) = -37.493
- energy of formation (meV per atom) = -129.7

***

8.
Entry from Alexandria: a geometry-optimized CaMg2Cd9 structure (PBE).

abc: 9.8973 9.8973 3.2999
angles: 90.00 90.00 120.00
Closest atoms and distances in Å follow each position.
Space group P6/mmm (No. 191)
One atom of each set of equivalent atoms:
Ca: 0.0000 0.0000 0.0000 [1 per cell]  2 Ca 3.30, 12 Cd 3.45
Mg: 0.3333 0.6667 0.0000 [2 per cell]  9 Cd 2.86-3.15
Cd: 0.0000 0.5000 0.0000 [3 per cell]  2 Mg 2.86
Cd: 0.1767 0.3533 0.5000 [6 per cell]  8 Cd 3.03-3.30, 2 Mg 3.15

Values from the calculation:
- E (eV/cell) = -14.515
- energy of formation (meV per atom) = -90.7
- distance to the lowest polymorph of the same formula (meV per atom) = 34

***

9.
Entry from Alexandria: a geometry-optimized CaMg9Cd3 structure (PBE).

abc: 5.9054 14.4001 7.7690
angles: 90.00 111.74 90.00
Closest atoms and distances in Å follow each position.
Space group C2/m (No. 12)
One atom of each set of equivalent atoms:
Ca: 0.0000 0.0000 0.0000 [2 per cell]  14 Mg 3.59-3.88, 6 Cd 3.89-3.91
Mg: 0.0000 0.0000 0.5000 [2 per cell]  2 Cd 2.95, 8 Mg 3.00-3.13
Mg: 0.1037 0.3921 0.2133 [8 per cell]  3 Cd 2.95-2.96, 7 Mg 3.00-3.31
Mg: 0.1722 0.1770 0.3494 [8 per cell]  6 Mg 3.02-3.31, 3 Cd 3.10-3.15
Cd: 0.0000 0.5000 0.5000 [2 per cell]  10 Mg 2.95-3.15
Cd: 0.2500 0.2500 0.0000 [4 per cell]  2 Cd 2.95, 8 Mg 2.95-3.11

Values from the calculation:
- E (eV/cell) = -40.769
- energy of formation (meV per atom) = -98.9

***

10.
Entry from Alexandria: a geometry-optimized Ca2MgCd structure (PBE).

abc: 3.8553 3.8553 30.4507
angles: 90.00 90.00 120.00
Closest atoms and distances in Å follow each position.
Space group R-3m (No. 166, hexagonal axes)
One atom of each set of equivalent atoms:
Ca: 0.0000 0.0000 0.2459 [6 per cell]  3 Cd 3.28, 3 Mg 3.47
Mg: 0.0000 0.0000 0.0000 [3 per cell]  6 Ca 3.47, 6 Mg 3.86
Cd: 0.0000 0.0000 0.5000 [3 per cell]  6 Ca 3.28

Values from the calculation:
- E (eV/cell) = -20.015
- energy of formation (meV per atom) = -39.7
- distance to the lowest polymorph of the same formula (meV per atom) = 179

***

11.
Entry from Alexandria: a geometry-optimized CaMg4Cd structure (PBE).

abc: 8.7714 4.4809 7.8995
angles: 90.00 90.00 90.00
Closest atoms and distances in Å follow each position.
Space group Pmma (No. 51)
One atom of each set of equivalent atoms:
Ca: 0.2500 0.0000 0.1192 [2 per cell]  1 Cd 3.14, 6 Mg 3.45-3.51
Mg: 0.0000 0.0000 0.5000 [2 per cell]  2 Cd 2.80
Mg: 0.0515 0.5000 0.8078 [4 per cell]  2 Cd 2.92, 1 Mg 3.17
Mg: 0.2500 0.5000 0.4517 [2 per cell]  2 Cd 3.09, 8 Mg 3.16-3.35, 2 Ca 3.45
Cd: 0.2500 0.0000 0.7213 [2 per cell]  8 Mg 2.80-3.09

Values from the calculation:
- E (eV/cell) = -19.734
- energy of formation (meV per atom) = -95.3
- distance to the lowest polymorph of the same formula (meV per atom) = 0

***

12.
Entry from Alexandria: a geometry-optimized Ca6MgCd2 structure (PBE).

abc: 10.3784 10.5180 11.4229
angles: 90.00 90.00 90.00
Closest atoms and distances in Å follow each position.
Space group Immm (No. 71)
One atom of each set of equivalent atoms:
Ca: 0.0000 0.2105 0.1728 [8 per cell]  3 Cd 3.17-3.36
Ca: 0.1861 0.2195 0.5000 [8 per cell]  3 Cd 3.35-3.39, 1 Mg 3.53
Ca: 0.1992 0.5000 0.2536 [8 per cell]  2 Cd 3.21-3.43, 2 Mg 3.49-3.56
Mg: 0.0000 0.5000 0.0000 [2 per cell]  8 Ca 3.56-3.63
Mg: 0.0000 0.5000 0.5000 [2 per cell]  8 Ca 3.49-3.53, 2 Cd 3.61
Cd: 0.0000 0.0000 0.3709 [4 per cell]  1 Cd 2.95, 2 Ca 3.17
Cd: 0.1526 0.0000 0.0000 [4 per cell]  1 Cd 3.17, 8 Ca 3.21-3.39

Values from the calculation:
- E (eV/cell) = -67.712
- energy of formation (meV per atom) = -166.0
- distance to the lowest polymorph of the same formula (meV per atom) = 0

***

no.,calculated volume (Å³/cell)
1,288.1
2,1424.2
3,385.4
4,2551.6
5,456.1
6,1000.2
7,603.5
8,279.9
9,613.7
10,392.0
11,310.5
12,1246.9